i:
Tb8NdY2 (PBE, relaxed); calculated density = 7.3 Mg/m³; D(E_F) = 16.17 states/eV/cell; symmetry = No. 12
1.0
-2.798 -1.694 4.966
3.825 -1.207 8.180
0.420 7.347 5.961
Tb Nd Y
8 1 2
direct
0.805 0.099 0.246
0.805 0.345 0.754
0.290 0.440 0.000
0.500 0.796 0.408
0.500 0.204 0.592
0.710 0.560 0.000
0.195 0.655 0.246
0.195 0.901 0.754
0.500 0.000 0.000
0.000 0.310 0.379
0.000 0.690 0.621

ii:
Tb8NdY2 (PBE, relaxed); calculated density = 7.3 Mg/m³; D(E_F) = 16.06 states/eV/cell; symmetry = No. 71
1.0
5.329 0.000 -1.618
-0.997 7.383 -3.284
-0.062 -0.327 9.377
Tb Nd Y
8 1 2
direct
0.637 0.843 0.275
0.363 0.568 0.725
0.164 0.164 0.328
0.000 0.294 0.000
0.836 0.836 0.672
0.637 0.432 0.275
0.363 0.157 0.725
0.000 0.706 0.000
0.500 0.000 0.000
0.200 0.700 0.400
0.800 0.300 0.600

The structure with the least stability is i.